Below is Ga3PbC after structural relaxation, with properties calculated at the GGA-PBE level.

Cell: 5.631 5.631 5.631 Å, 90.00 90.00 90.00°
Last column: magnetic moment on the atom in μB.
Fractional positions:
Ga 0.500 0.000 0.000  -0.02
Ga 0.000 0.500 0.000  -0.02
Ga 0.000 0.000 0.500  0.01
Pb 0.000 0.000 0.000  0.00
C 0.500 0.500 0.500  0.99

Calculated values
The total magnetization is 2.15 μB/f.u. For the calculated formation energy, the calculation gives 1.9002 eV/atom. For the density of states at the Fermi level, the calculation gives 2.748 states/eV/cell. Its offset from the most stable computed form is 1.220 eV/atom. The calculation puts the mass density at 3.983 g cm⁻³.